Material: Lu3Al
Method: DFT, PBE
State: relaxed

Summary:
Formation energy from the elements: -0.19 eV/atom
Crystal system: cubic
E: -4.52 eV/atom
Volume: 25.22 Å³/atom
Theoretical density: 9.1 Mg/m³

Lattice parameters (Å, degrees): 4.655 4.655 4.655 90.00 90.00 90.00
Fractional positions:
Lu  0.000  0.000  0.500
Lu  0.000  0.500  0.000
Lu  0.500  0.000  0.000
Al  0.500  0.500  0.500

***

Material: Ac7La4Tb
Method: DFT, PBE
State: relaxed

Summary:
Formation energy from the elements: 0.08 eV/atom
Crystal system: triclinic
E: -4.35 eV/atom
Volume: 41.47 Å³/atom
Theoretical density: 7.7 Mg/m³

Lattice parameters (Å, degrees): 6.586 7.381 10.669 105.99 93.25 90.41
Fractional positions:
Ac  0.000  0.000  0.000
Ac  0.056  0.830  0.331
Ac  0.429  0.245  0.492
Ac  0.471  0.139  0.850
Ac  0.529  0.861  0.150
Ac  0.571  0.755  0.508
Ac  0.944  0.170  0.669
La  0.101  0.662  0.670
La  0.407  0.392  0.193
La  0.593  0.608  0.807
La  0.899  0.338  0.330
Tb  0.000  0.500  0.000

***

Material: DyThGeAu
Method: DFT, PBE
State: relaxed

Summary:
Formation energy from the elements: -0.76 eV/atom
Crystal system: orthorhombic
E: -5.74 eV/atom
Energy above the most stable polymorph in this dataset: 0.000 eV/atom
Volume: 25.21 Å³/atom
Theoretical density: 10.9 Mg/m³

Lattice parameters (Å, degrees): 4.357 5.914 5.914 41.44 90.00 90.00
Fractional positions:
Dy  0.000  0.000  0.000
Th  0.500  0.278  0.278
Ge  0.000  0.721  0.721
Au  0.500  0.553  0.553

***

Material: LiTeP
Method: DFT, PBE
State: relaxed

Summary:
E_form (uncorrected): 0.16 eV per formula unit
Crystal system: trigonal
E: -3.43 eV/atom
Energy above the most stable polymorph in this dataset: 0.218 eV/atom
Volume: 24.97 Å³/atom
Theoretical density: 3.7 Mg/m³

Lattice parameters (Å, degrees): 4.425 4.425 4.417 90.00 90.00 120.00
Fractional positions:
Li  0.000  0.000  0.000
Te  0.333  0.667  0.477
P  0.667  0.333  0.290

***

Material: Pa2MnInN5
Method: DFT, PBE
State: relaxed

Summary:
E_form (uncorrected): -6.38 eV per formula unit
Crystal system: tetragonal
E: -8.77 eV/atom
Volume: 13.87 Å³/atom
Theoretical density: 9.3 Mg/m³

Lattice parameters (Å, degrees): 6.666 6.666 5.619 90.00 90.00 90.00
Fractional positions:
Pa  0.179  0.321  0.000
Pa  0.321  0.821  0.000
Pa  0.679  0.179  0.000
Pa  0.821  0.679  0.000
Mn  0.000  0.500  0.500
Mn  0.500  0.000  0.500
In  0.000  0.000  0.500
In  0.500  0.500  0.500
N  0.000  0.000  0.000
N  0.140  0.640  0.252
N  0.140  0.640  0.748
N  0.360  0.140  0.252
N  0.360  0.140  0.748
N  0.500  0.500  0.000
N  0.640  0.860  0.252
N  0.640  0.860  0.748
N  0.860  0.360  0.252
N  0.860  0.360  0.748

***

Material: Na5Ce3S12
Method: DFT, PBE
State: relaxed

Summary:
E_form (uncorrected): -19.29 eV per formula unit
Crystal system: cubic
E: -4.66 eV/atom
Volume: 28.13 Å³/atom
Theoretical density: 2.7 Mg/m³

Lattice parameters (Å, degrees): 14.299 14.299 14.299 109.47 109.47 109.47
Fractional positions:
Na  0.000  0.000  0.000
Na  0.000  0.000  0.500
Na  0.000  0.500  0.000
Na  0.000  0.500  0.500
Na  0.125  0.750  0.875
Na  0.125  0.875  0.250
Na  0.250  0.125  0.875
Na  0.250  0.625  0.375
Na  0.375  0.250  0.625
Na  0.375  0.625  0.750
Na  0.500  0.000  0.000
Na  0.500  0.000  0.500
Na  0.500  0.500  0.000
Na  0.500  0.500  0.500
Na  0.625  0.375  0.250
Na  0.625  0.750  0.375
Na  0.750  0.375  0.625
Na  0.750  0.875  0.125
Na  0.875  0.125  0.750
Na  0.875  0.250  0.125
Ce  0.125  0.250  0.375
Ce  0.125  0.375  0.750
Ce  0.250  0.375  0.125
Ce  0.250  0.875  0.625
Ce  0.375  0.125  0.250
Ce  0.375  0.750  0.125
Ce  0.625  0.250  0.875
Ce  0.625  0.875  0.750
Ce  0.750  0.125  0.375
Ce  0.750  0.625  0.875
Ce  0.875  0.625  0.250
Ce  0.875  0.750  0.625
S  0.079  0.263  0.167
S  0.079  0.316  0.912
S  0.088  0.667  0.403
S  0.088  0.921  0.684
S  0.097  0.763  0.684
S  0.097  0.833  0.412
S  0.167  0.079  0.263
S  0.167  0.588  0.903
S  0.184  0.263  0.597
S  0.184  0.421  0.588
S  0.237  0.316  0.903
S  0.237  0.421  0.333
S  0.263  0.167  0.079
S  0.263  0.597  0.184
S  0.316  0.903  0.237
S  0.316  0.912  0.079
S  0.333  0.237  0.421
S  0.333  0.597  0.912
S  0.403  0.088  0.667
S  0.403  0.816  0.737
S  0.412  0.097  0.833
S  0.412  0.816  0.579
S  0.421  0.333  0.237
S  0.421  0.588  0.184
S  0.579  0.412  0.816
S  0.579  0.667  0.763
S  0.588  0.184  0.421
S  0.588  0.903  0.167
S  0.597  0.184  0.263
S  0.597  0.912  0.333
S  0.667  0.403  0.088
S  0.667  0.763  0.579
S  0.684  0.088  0.921
S  0.684  0.097  0.763
S  0.737  0.403  0.816
S  0.737  0.833  0.921
S  0.763  0.579  0.667
S  0.763  0.684  0.097
S  0.816  0.579  0.412
S  0.816  0.737  0.403
S  0.833  0.412  0.097
S  0.833  0.921  0.737
S  0.903  0.167  0.588
S  0.903  0.237  0.316
S  0.912  0.079  0.316
S  0.912  0.333  0.597
S  0.921  0.684  0.088
S  0.921  0.737  0.833

***

Material: YTl3Cd
Method: DFT, PBE
State: relaxed

Summary:
Formation energy from the elements: 0.37 eV/atom
Crystal system: cubic
E: -2.52 eV/atom
Energy above the most stable polymorph in this dataset: 0.000 eV/atom
Volume: 33.64 Å³/atom
Theoretical density: 8.0 Mg/m³

Lattice parameters (Å, degrees): 5.520 5.520 5.520 90.00 90.00 90.00
Fractional positions:
Y  0.000  0.000  0.000
Tl  0.000  0.500  0.500
Tl  0.500  0.000  0.500
Tl  0.500  0.500  0.000
Cd  0.500  0.500  0.500

***

Material: MnBeSb2
Method: DFT, PBE
State: relaxed

Summary:
E_form (uncorrected): 1.48 eV per formula unit
Crystal system: tetragonal
E: -4.91 eV/atom
Volume: 25.11 Å³/atom
Theoretical density: 5.1 Mg/m³

Lattice parameters (Å, degrees): 6.983 6.983 6.983 128.89 128.89 75.19
Fractional positions:
Mn  0.000  0.000  0.000
Mn  0.750  0.250  0.500
Be  0.250  0.750  0.500
Be  0.500  0.500  0.000
Sb  0.151  0.625  0.026
Sb  0.375  0.401  0.526
Sb  0.599  0.125  0.974
Sb  0.875  0.849  0.474

***

Material: CsZnI3
Method: DFT, PBE
State: relaxed

Summary:
E_form (uncorrected): -5.01 eV per formula unit
Crystal system: triclinic
E: -2.36 eV/atom
Volume: 47.94 Å³/atom
Theoretical density: 4.0 Mg/m³

Lattice parameters (Å, degrees): 6.558 8.484 8.796 78.91 87.34 87.58
Fractional positions:
Cs  0.000  0.000  0.000
Cs  0.485  0.354  0.351
Zn  0.241  0.508  0.832
Zn  0.244  0.846  0.522
I  0.000  0.094  0.528
I  0.010  0.490  0.082
I  0.028  0.576  0.571
I  0.458  0.779  0.783
I  0.475  0.865  0.271
I  0.486  0.261  0.825

***

Material: Li3ZrOs
Method: DFT, PBE
State: relaxed

Summary:
Formation energy from the elements: 1.04 eV/atom
Crystal system: cubic
E: -4.06 eV/atom
Energy above the most stable polymorph in this dataset: 0.000 eV/atom
Volume: 17.59 Å³/atom
Theoretical density: 5.7 Mg/m³

Lattice parameters (Å, degrees): 4.447 4.447 4.447 90.00 90.00 90.00
Fractional positions:
Li  0.000  0.000  0.500
Li  0.000  0.500  0.000
Li  0.500  0.000  0.000
Zr  0.500  0.500  0.500
Os  0.000  0.000  0.000

***

Material: TeAsSeN2
Method: DFT, PBE
State: relaxed

Summary:
E_form (uncorrected): 7.18 eV per formula unit
Crystal system: tetragonal
E: -4.15 eV/atom
Energy above the most stable polymorph in this dataset: 0.175 eV/atom
Volume: 19.79 Å³/atom
Theoretical density: 5.2 Mg/m³

Lattice parameters (Å, degrees): 3.941 3.941 6.370 90.00 90.00 90.00
Fractional positions:
Te  0.000  0.000  0.000
As  0.500  0.500  0.500
Se  0.000  0.000  0.500
N  0.000  0.500  0.000
N  0.500  0.000  0.000

***

Material: SrCu3
Method: DFT, PBE
State: relaxed

Summary:
Formation energy from the elements: 0.16 eV/atom
Crystal system: orthorhombic
E: -3.34 eV/atom
Volume: 20.04 Å³/atom
Theoretical density: 5.8 Mg/m³

Lattice parameters (Å, degrees): 3.536 3.685 6.153 90.00 90.00 90.00
Fractional positions:
Sr  0.000  0.000  0.000
Cu  0.000  0.500  0.567
Cu  0.500  0.000  0.556
Cu  0.500  0.500  0.289